1.
Below is a geometry-optimized CoTc3 structure, with properties calculated at the GGA-PBE level.

## Properties
- DFT formation energy: 0.045 eV per atom
- Crystal system: orthorhombic
- Energy above the most stable polymorph in this dataset: 0.39 eV per formula unit

Unit cell a=4.6071 b=4.6071 c=4.6114 alpha=131.22 beta=131.22 gamma=71.39
Atoms (fractional coordinates):
Tc1 0.0000 0.5000 0.5000
Tc2 0.7500 0.7500 0.0000
Tc3 0.2500 0.2500 0.0000
Co1 0.5000 0.0000 0.5000

---

2.
Below is a geometry-optimized CoTc5 structure, with properties calculated at the GGA-PBE level.

## Properties
- DFT formation energy: 0.063 eV per atom
- Crystal system: orthorhombic
- Energy above the most stable polymorph in this dataset: 0.27 eV per formula unit

Unit cell a=6.0563 b=6.0563 c=3.8090 alpha=90.00 beta=90.00 gamma=143.33
Atoms (fractional coordinates):
Tc1 0.8102 0.1898 0.5000
Tc2 0.4722 0.5278 0.5000
Tc3 0.1342 0.8658 0.5000
Tc4 0.3112 0.6888 0.0000
Tc5 0.6333 0.3667 0.0000
Co1 0.9722 0.0278 0.0000

---

3.
Below is a geometry-optimized Co3Tc structure, with properties calculated at the GGA-PBE level.

## Properties
- DFT formation energy: 0.241 eV per atom
- Crystal system: trigonal

Unit cell a=2.4806 b=4.8264 c=4.8264 alpha=117.13 beta=80.14 gamma=80.14
Atoms (fractional coordinates):
Co1 0.5000 0.5000 0.0000
Co2 0.5000 0.0000 0.5000
Co3 0.0000 0.0000 0.0000
Tc1 0.0000 0.5000 0.5000

---

4.
Below is a geometry-optimized CoTc5 structure, with properties calculated at the GGA-PBE level.

## Properties
- DFT formation energy: 0.019 eV per atom
- Crystal system: monoclinic
- Energy above the most stable polymorph in this dataset: 0.01 eV per formula unit

Unit cell a=2.7381 b=5.1179 c=6.3756 alpha=76.38 beta=90.00 gamma=74.48
Atoms (fractional coordinates):
Tc1 0.2815 0.4370 0.0524
Tc2 0.3359 0.3282 0.6712
Tc3 0.6064 0.7872 0.7310
Tc4 0.9469 0.1061 0.3833
Tc5 0.6618 0.6764 0.3298
Co1 0.0008 0.9985 0.9989

---

5.
Below is a geometry-optimized Co3Tc structure, with properties calculated at the GGA-PBE level.

## Properties
- DFT formation energy: 0.132 eV per atom
- Crystal system: orthorhombic

Unit cell a=4.4081 b=4.4081 c=2.5553 alpha=90.00 beta=90.00 gamma=109.53
Atoms (fractional coordinates):
Tc1 0.5000 0.5000 0.0000
Co1 0.0000 0.0000 0.0000
Co2 0.5000 0.0000 0.5000
Co3 0.0000 0.5000 0.5000

---

6.
Below is a geometry-optimized Co3Tc structure, with properties calculated at the GGA-PBE level.

## Properties
- DFT formation energy: 0.116 eV per atom
- Crystal system: cubic

Unit cell a=3.5743 b=3.5743 c=3.5743 alpha=90.00 beta=90.00 gamma=90.00
Atoms (fractional coordinates):
Tc1 0.5000 0.5000 0.0000
Co1 0.0000 0.5000 0.5000
Co2 0.5000 0.0000 0.5000
Co3 0.0000 0.0000 0.0000

---

7.
Below is a geometry-optimized Co2Tc3 structure, with properties calculated at the GGA-PBE level.

## Properties
- DFT formation energy: 0.149 eV per atom
- Crystal system: trigonal
- Energy above the most stable polymorph in this dataset: 0.17 eV per formula unit

Unit cell a=10.7581 b=10.7581 c=10.7581 alpha=14.22 beta=14.22 gamma=14.22
Atoms (fractional coordinates):
Co1 0.3983 0.3983 0.3983
Co2 0.6017 0.6017 0.6017
Tc1 0.0000 0.0000 0.0000
Tc2 0.7986 0.7986 0.7986
Tc3 0.2014 0.2014 0.2014

---

8.
Below is a geometry-optimized Co3Tc structure, with properties calculated at the GGA-PBE level.

## Properties
- DFT formation energy: 0.259 eV per atom
- Crystal system: cubic

Unit cell a=4.0636 b=4.0636 c=4.0636 alpha=60.00 beta=60.00 gamma=60.00
Atoms (fractional coordinates):
Co1 0.7500 0.7500 0.7500
Co2 0.5000 0.5000 0.5000
Co3 0.0000 0.0000 0.0000
Tc1 0.2500 0.2500 0.2500

---

9.
Below is a geometry-optimized Co2Tc3 structure, with properties calculated at the GGA-PBE level.

## Properties
- DFT formation energy: 0.486 eV per atom
- Crystal system: trigonal
- Energy above the most stable polymorph in this dataset: 1.86 eV per formula unit

Unit cell a=3.9968 b=3.9968 c=5.0925 alpha=90.00 beta=90.00 gamma=120.00
Atoms (fractional coordinates):
Tc1 0.6667 0.3333 0.6108
Tc2 0.3333 0.6667 0.3892
Tc3 0.0000 0.0000 0.0000
Co1 0.3333 0.6667 0.8829
Co2 0.6667 0.3333 0.1171

---

10.
Below is a geometry-optimized Co3Tc structure, with properties calculated at the GGA-PBE level.

## Properties
- DFT formation energy: 0.101 eV per atom
- Crystal system: hexagonal

Unit cell a=2.6011 b=2.6011 c=8.1349 alpha=90.00 beta=90.00 gamma=120.00
Atoms (fractional coordinates):
Co1 0.0000 0.0000 0.4907
Co2 0.0000 0.0000 0.0093
Co3 0.3333 0.6667 0.2500
Tc1 0.3333 0.6667 0.7500

---

11.
Below is a geometry-optimized Co5Tc3 structure, with properties calculated at the GGA-PBE level.

## Properties
- DFT formation energy: 0.053 eV per atom
- Crystal system: monoclinic
- Energy above the most stable polymorph in this dataset: 0.00 eV per formula unit

Unit cell a=4.8994 b=6.6297 c=6.6297 alpha=85.58 beta=108.76 gamma=108.76
Atoms (fractional coordinates):
Co1 0.2622 0.2958 0.2128
Co2 0.7504 0.5412 0.4592
Co3 0.2504 0.4588 0.5416
Co4 0.7387 0.7042 0.7880
Co5 0.9969 0.9173 0.3370
Co6 0.5039 0.6634 0.0832
Co7 0.0039 0.0827 0.6638
Co8 0.4969 0.3366 0.9177
Co9 0.7622 0.2124 0.2962
Co10 0.2387 0.7876 0.7046
Tc1 0.9922 0.5772 0.1699
Tc2 0.7504 0.0395 0.9609
Tc3 0.5087 0.8305 0.4232
Tc4 0.4922 0.1695 0.5776
Tc5 0.2504 0.9605 0.0399
Tc6 0.0087 0.4228 0.8309

---

12.
Below is a geometry-optimized CoTc3 structure, with properties calculated at the GGA-PBE level.

## Properties
- DFT formation energy: 0.020 eV per atom
- Crystal system: orthorhombic
- Energy above the most stable polymorph in this dataset: 0.29 eV per formula unit

Unit cell a=2.7160 b=4.2819 c=4.6704 alpha=90.00 beta=90.00 gamma=90.00
Atoms (fractional coordinates):
Tc1 0.0000 0.5000 0.3272
Tc2 0.5000 0.0000 0.5045
Tc3 0.5000 0.5000 0.8423
Co1 0.0000 0.0000 0.9926

---

13.
Below is a geometry-optimized CoTc3 structure, with properties calculated at the GGA-PBE level.

## Properties
- DFT formation energy: 0.083 eV per atom
- Crystal system: tetragonal
- Energy above the most stable polymorph in this dataset: 0.54 eV per formula unit

Unit cell a=2.6768 b=2.6768 c=7.5648 alpha=90.00 beta=90.00 gamma=90.00
Atoms (fractional coordinates):
Tc1 0.0000 0.0000 0.5000
Tc2 0.5000 0.5000 0.2359
Tc3 0.5000 0.5000 0.7641
Co1 0.0000 0.0000 0.0000

---

14.
Below is a geometry-optimized CoTc5 structure, with properties calculated at the GGA-PBE level.

## Properties
- DFT formation energy: 0.408 eV per atom
- Crystal system: cubic
- Energy above the most stable polymorph in this dataset: 2.34 eV per formula unit

Unit cell a=5.0288 b=5.0288 c=5.0288 alpha=60.00 beta=60.00 gamma=60.00
Atoms (fractional coordinates):
Tc1 0.1224 0.6259 0.6259
Tc2 0.6259 0.6259 0.1224
Tc3 0.6259 0.6259 0.6259
Tc4 0.2500 0.2500 0.2500
Tc5 0.6259 0.1224 0.6259
Co1 0.0000 0.0000 0.0000

---

15.
Below is a geometry-optimized Co24Tc5 structure, with properties calculated at the GGA-PBE level.

## Properties
- DFT formation energy: 0.062 eV per atom
- Crystal system: cubic

Unit cell a=7.5760 b=7.5760 c=7.5760 alpha=109.47 beta=109.47 gamma=109.47
Atoms (fractional coordinates):
Co1 0.3193 0.3193 0.7170
Co2 0.3765 0.1920 0.0000
Co3 0.6807 0.0000 0.3976
Co4 0.8156 0.6235 0.6235
Co5 0.3765 0.0000 0.1920
Co6 0.6024 0.6024 0.2830
Co7 0.0000 0.3765 0.1920
Co8 0.6235 0.8156 0.6235
Co9 0.3976 0.6807 0.0000
Co10 0.1844 0.8080 0.8080
Co11 0.2830 0.6024 0.6024
Co12 0.7170 0.3193 0.3193
Co13 0.0000 0.3976 0.6807
Co14 0.6807 0.3976 0.0000
Co15 0.8080 0.8080 0.1844
Co16 0.8080 0.1844 0.8080
Co17 0.1920 0.0000 0.3765
Co18 0.3193 0.7170 0.3193
Co19 0.3976 0.0000 0.6807
Co20 0.6024 0.2830 0.6024
Co21 0.6235 0.6235 0.8156
Co22 0.1920 0.3765 0.0000
Co23 0.0000 0.1920 0.3765
Co24 0.0000 0.6807 0.3976
Tc1 0.3568 0.3568 0.3568
Tc2 0.0000 0.6432 0.0000
Tc3 0.6432 0.0000 0.0000
Tc4 0.0000 0.0000 0.0000
Tc5 0.0000 0.0000 0.6432

---

16.
Below is a geometry-optimized Co7Tc structure, with properties calculated at the GGA-PBE level.

## Properties
- DFT formation energy: 0.099 eV per atom
- Crystal system: cubic

Unit cell a=5.0395 b=5.0395 c=5.0395 alpha=60.00 beta=60.00 gamma=60.00
Atoms (fractional coordinates):
Co1 0.5000 0.0000 0.5000
Co2 0.5000 0.0000 0.0000
Co3 0.0000 0.0000 0.5000
Co4 0.0000 0.5000 0.0000
Co5 0.5000 0.5000 0.0000
Co6 0.5000 0.5000 0.5000
Co7 0.0000 0.5000 0.5000
Tc1 0.0000 0.0000 0.0000

---

17.
Below is a geometry-optimized Co5Tc3 structure, with properties calculated at the GGA-PBE level.

## Properties
- DFT formation energy: 0.093 eV per atom
- Crystal system: orthorhombic
- Energy above the most stable polymorph in this dataset: 0.32 eV per formula unit

Unit cell a=5.1398 b=5.1398 c=3.6225 alpha=90.00 beta=90.00 gamma=90.51
Atoms (fractional coordinates):
Co1 0.0000 0.0000 0.0000
Co2 0.5000 0.0000 0.0000
Co3 0.0000 0.5000 0.0000
Co4 0.7534 0.2466 0.5000
Co5 0.2466 0.7534 0.5000
Tc1 0.2419 0.2419 0.5000
Tc2 0.5000 0.5000 0.0000
Tc3 0.7581 0.7581 0.5000

---

18.
Below is a geometry-optimized CoTc3 structure, with properties calculated at the GGA-PBE level.

## Properties
- DFT formation energy: 0.087 eV per atom
- Crystal system: orthorhombic
- Energy above the most stable polymorph in this dataset: 0.56 eV per formula unit

Unit cell a=2.6867 b=3.7810 c=5.9993 alpha=90.00 beta=63.47 gamma=90.00
Atoms (fractional coordinates):
Tc1 0.5000 0.0000 0.5000
Tc2 0.7348 0.5000 0.7641
Tc3 0.2652 0.5000 0.2359
Co1 0.0000 0.0000 0.0000

---

19.
Below is a geometry-optimized CoTc3 structure, with properties calculated at the GGA-PBE level.

## Properties
- DFT formation energy: 0.112 eV per atom
- Crystal system: orthorhombic
- Energy above the most stable polymorph in this dataset: 0.66 eV per formula unit

Unit cell a=5.2413 b=8.2004 c=5.1012 alpha=90.00 beta=90.00 gamma=90.00
Atoms (fractional coordinates):
Co1 0.0758 0.7500 0.5453
Co2 0.5758 0.7500 0.9547
Co3 0.4242 0.2500 0.0453
Co4 0.9242 0.2500 0.4547
Tc1 0.6773 0.0210 0.2107
Tc2 0.3227 0.5210 0.7893
Tc3 0.8227 0.5210 0.7107
Tc4 0.4627 0.2500 0.5595
Tc5 0.5373 0.7500 0.4405
Tc6 0.9627 0.2500 0.9405
Tc7 0.1773 0.4790 0.2893
Tc8 0.0373 0.7500 0.0595
Tc9 0.3227 0.9790 0.7893
Tc10 0.8227 0.9790 0.7107
Tc11 0.1773 0.0210 0.2893
Tc12 0.6773 0.4790 0.2107

---

20.
Below is a geometry-optimized CoTc3 structure, with properties calculated at the GGA-PBE level.

## Properties
- DFT formation energy: 0.033 eV per atom
- Crystal system: cubic
- Energy above the most stable polymorph in this dataset: 0.35 eV per formula unit

Unit cell a=3.7814 b=3.7814 c=3.7814 alpha=90.00 beta=90.00 gamma=90.00
Atoms (fractional coordinates):
Co1 0.0000 0.0000 0.0000
Tc1 0.5000 0.5000 0.0000
Tc2 0.5000 0.0000 0.5000
Tc3 0.0000 0.5000 0.5000

---

21.
Below is a geometry-optimized Co3Tc structure, with properties calculated at the GGA-PBE level.

## Properties
- DFT formation energy: 0.138 eV per atom
- Crystal system: trigonal

Unit cell a=2.5884 b=2.5884 c=8.3995 alpha=98.86 beta=81.14 gamma=120.00
Atoms (fractional coordinates):
Tc1 0.2500 0.7500 0.2500
Co1 0.4963 0.5037 0.5110
Co2 0.7500 0.2500 0.7500
Co3 0.0037 0.9963 0.9890

---

22.
Below is a geometry-optimized Co3TcTe structure, with properties calculated at the GGA-PBE level.

## Properties
- E_form (uncorrected): 1.28 eV/atom
- Crystal system: cubic
- Energy above the most stable polymorph in this dataset: 0.00 eV per formula unit

Unit cell a=4.4444 b=4.4444 c=4.4444 alpha=90.00 beta=90.00 gamma=90.00
Atoms (fractional coordinates):
Co1 0.0000 0.0000 0.5000
Co2 0.5000 0.0000 0.0000
Co3 0.0000 0.5000 0.0000
Tc1 0.0000 0.0000 0.0000
Te1 0.5000 0.5000 0.5000

---

23.
Below is a geometry-optimized CoTcTe2 structure, with properties calculated at the GGA-PBE level.

## Properties
- E_form (uncorrected): 0.13 eV/atom
- Crystal system: tetragonal
- Energy above the most stable polymorph in this dataset: 0.66 eV per formula unit

Unit cell a=3.2583 b=3.2583 c=7.9483 alpha=90.00 beta=90.00 gamma=90.00
Atoms (fractional coordinates):
Co1 0.0000 0.0000 0.5132
Te1 0.5000 0.5000 0.3667
Te2 0.0000 0.0000 0.9011
Tc1 0.5000 0.5000 0.7190

---

24.
Below is a geometry-optimized CoTcTe2 structure, with properties calculated at the GGA-PBE level.

## Properties
- E_form (uncorrected): 1.01 eV/atom
- Crystal system: cubic
- Energy above the most stable polymorph in this dataset: 4.15 eV per formula unit

Unit cell a=4.7762 b=4.7762 c=4.7762 alpha=60.00 beta=60.00 gamma=60.00
Atoms (fractional coordinates):
Te1 0.7500 0.7500 0.7500
Te2 0.0000 0.0000 0.0000
Tc1 0.2500 0.2500 0.2500
Co1 0.5000 0.5000 0.5000

---

25.
Below is a geometry-optimized CoTcTe2 structure, with properties calculated at the GGA-PBE level.

## Properties
- E_form (uncorrected): 0.31 eV/atom
- Crystal system: trigonal
- Energy above the most stable polymorph in this dataset: 1.35 eV per formula unit

Unit cell a=7.7797 b=7.7797 c=7.7797 alpha=24.87 beta=24.87 gamma=24.87
Atoms (fractional coordinates):
Te1 0.5038 0.5038 0.5038
Te2 0.9962 0.9962 0.9962
Tc1 0.7500 0.7500 0.7500
Co1 0.2500 0.2500 0.2500

---

26.
Below is a geometry-optimized CoTcTe2 structure, with properties calculated at the GGA-PBE level.

## Properties
- E_form (uncorrected): 0.39 eV/atom
- Crystal system: monoclinic
- Energy above the most stable polymorph in this dataset: 1.68 eV per formula unit

Unit cell a=3.2901 b=3.2919 c=7.3473 alpha=63.81 beta=90.00 gamma=90.00
Atoms (fractional coordinates):
Te1 0.0000 0.4969 0.4972
Te2 0.0000 0.0031 0.0028
Co1 0.5000 0.2500 0.2500
Tc1 0.5000 0.7500 0.7500

---

27.
Below is a geometry-optimized CoTcTe2 structure, with properties calculated at the GGA-PBE level.

## Properties
- E_form (uncorrected): 0.39 eV/atom
- Crystal system: monoclinic
- Energy above the most stable polymorph in this dataset: 1.67 eV per formula unit

Unit cell a=4.3240 b=4.3240 c=5.7564 alpha=78.55 beta=78.55 gamma=45.37
Atoms (fractional coordinates):
Te1 0.5070 0.5070 0.5009
Te2 0.9930 0.9930 0.9991
Co1 0.7500 0.7500 0.7500
Tc1 0.2500 0.2500 0.2500